A PBEsol-optimized structure of SiHg2Pt. Source: Alexandria via LeMat-Bulk, functional meta-GGA SCAN.

Geometry as POSCAR:
```
SiHg2Pt
1.0
2.967 -1.726 0.000
2.967 1.726 0.000
-0.036 0.000 8.011
Si Hg Pt
1 2 1
direct
0.000 0.000 0.000 Si
0.003 0.003 0.684 Hg
0.334 0.334 0.408 Hg
0.666 0.666 0.148 Pt
```

Calculated values
density of states at the Fermi level: 1.62 states/eV per cell
SG: Cm, No. 8
total energy: -54.352 eV per atom
raw formation energy: -216.4 meV per atom

---

A PBEsol-optimized structure of Si2HgPt. Source: Alexandria via LeMat-Bulk, functional meta-GGA SCAN.

Geometry as POSCAR:
```
Si2HgPt
1.0
3.704 0.000 0.000
0.000 4.204 0.000
0.000 0.000 4.230
Si Hg Pt
2 1 1
direct
0.000 0.000 0.000 Si
0.000 0.500 0.500 Si
0.500 0.000 0.500 Hg
0.500 0.500 0.000 Pt
```

Calculated values
density of states at the Fermi level: 1.50 states/eV per cell
SG: Pmmm, No. 47
total energy: -39.149 eV per atom
raw formation energy: 449.0 meV per atom

---

The highest raw formation energy belongs to which entry? Si2HgPt